Entry 1:
Below is crystalline CaTcCl at its relaxed geometry, with properties calculated at the PBE level.

Output
* total moment: 0.906 μB/atom
* calculated total energy: -4.63 eV per atom
* space group: P3m1, No. 156
* energy above the most stable polymorph in this dataset: 0.04 eV/f.u.
* energy relative to the elements, uncorrected: 0.3 eV per formula unit

Lattice parameters (Å, degrees): 3.4059 3.4059 6.6391 90.00 90.00 120.00
Closest atoms and distances in Å follow each position.
Positions (direct):
Tc1 0.3333 0.6667 0.6661  3 Cl 3.05, 3 Ca 3.06, 6 Tc 3.41
Cl1 0.6667 0.3333 0.3149  3 Ca 2.78, 3 Tc 3.05
Ca1 0.0000 0.0000 0.0190  3 Cl 2.78, 3 Tc 3.06


Entry 2:
Below is crystalline CaTcCl6 at its relaxed geometry, with properties calculated at the PBE level.

Output
* total moment: 0.375 μB/atom
* calculated total energy: -4.21 eV per atom
* space group: R-3, No. 148
* energy above the most stable polymorph in this dataset: 0.21 eV/f.u.
* energy relative to the elements, uncorrected: -10.3 eV per formula unit

Lattice parameters (Å, degrees): 6.4553 6.4542 6.9473 62.31 62.31 60.00
Closest atoms and distances in Å follow each position.
Positions (direct):
Cl1 0.7809 0.0674 0.7676  1 Tc 2.38
Cl2 0.6158 0.2191 0.2324  1 Tc 2.38
Cl3 0.2191 0.9326 0.2324  1 Tc 2.38
Cl4 0.3842 0.7809 0.7676  1 Tc 2.38
Cl5 0.0674 0.3842 0.7677  1 Tc 2.38
Cl6 0.9326 0.6158 0.2323  1 Tc 2.38
Tc1 0.0000 0.0000 0.0000  6 Cl 2.38
Ca1 0.5000 0.5000 0.5000  6 Cl 2.79


Entry 3:
Below is crystalline Ca2TcCl at its relaxed geometry, with properties calculated at the PBE level.

Output
* total moment: 0.502 μB/atom
* calculated total energy: -4.13 eV per atom
* space group: P4/mmm, No. 123
* energy above the most stable polymorph in this dataset: 1.23 eV/f.u.
* energy relative to the elements, uncorrected: -0.3 eV per formula unit

Lattice parameters (Å, degrees): 4.1727 4.1727 5.8902 90.00 90.00 90.00
Closest atoms and distances in Å follow each position.
Positions (direct):
Tc1 0.5000 0.5000 0.8750  6 Ca 2.94-2.95
Ca1 0.0000 0.0000 0.8750  2 Cl 2.94-2.95, 4 Tc 2.95
Ca2 0.5000 0.5000 0.3752  2 Tc 2.94-2.95, 4 Cl 2.95
Cl1 0.0000 0.0000 0.3747  6 Ca 2.94-2.95


Entry 4:
Below is crystalline CaTc3Cl at its relaxed geometry, with properties calculated at the PBE level.

Output
* total moment: 2.035 μB/atom
* calculated total energy: -4.33 eV per atom
* space group: Pm-3m, No. 221
* energy above the most stable polymorph in this dataset: 8.94 eV/f.u.
* energy relative to the elements, uncorrected: 13.3 eV per formula unit

Lattice parameters (Å, degrees): 5.1821 5.1821 5.1821 90.00 90.00 90.00
Closest atoms and distances in Å follow each position.
Positions (direct):
Tc1 0.5000 0.0000 0.0000  2 Ca 2.59
Tc2 0.0000 0.0000 0.5000  2 Ca 2.59
Tc3 0.0000 0.5000 0.0000  2 Ca 2.59
Cl1 0.5000 0.5000 0.5000  12 Tc 3.66
Ca1 0.0000 0.0000 0.0000  6 Tc 2.59


Entry 5:
Below is crystalline Ca2TcCl at its relaxed geometry, with properties calculated at the PBE level.

Output
* total moment: 0.372 μB/atom
* calculated total energy: -4.44 eV per atom
* space group: Cmmm, No. 65
* energy above the most stable polymorph in this dataset: 0.00 eV/f.u.
* energy relative to the elements, uncorrected: -1.6 eV per formula unit

Lattice parameters (Å, degrees): 3.3584 3.3584 8.1326 90.00 90.00 90.17
Closest atoms and distances in Å follow each position.
Positions (direct):
Ca1 0.0000 0.0000 0.5123  4 Tc 3.06-3.07, 4 Cl 3.19, 4 Ca 3.36
Ca2 0.0000 0.0000 0.9877  4 Tc 3.06-3.07, 4 Cl 3.19, 4 Ca 3.36
Tc1 0.5000 0.5000 0.7500  8 Ca 3.06-3.07, 4 Tc 3.36
Cl1 0.5000 0.5000 0.2500  8 Ca 3.19, 4 Cl 3.36


Entry 6:
Below is crystalline CaTc2Cl at its relaxed geometry, with properties calculated at the PBE level.

Output
* total moment: 0.000 μB/atom
* calculated total energy: -6.13 eV per atom
* space group: C2/m, No. 12
* energy above the most stable polymorph in this dataset: 1.08 eV/f.u.
* energy relative to the elements, uncorrected: 0.1 eV per formula unit

Lattice parameters (Å, degrees): 6.1408 6.1408 4.0604 102.85 102.85 33.07
Closest atoms and distances in Å follow each position.
Positions (direct):
Tc1 0.5311 0.5311 0.4413  2 Tc 2.34, 1 Cl 2.59
Tc2 0.9689 0.9689 0.0587  2 Tc 2.34, 1 Cl 2.59
Ca1 0.2500 0.2500 0.2500  4 Cl 2.68
Cl1 0.7500 0.7500 0.7500  2 Tc 2.59, 4 Ca 2.68